Record 1
# NaDyPb2

Crystalline NaDyPb2 at its relaxed geometry (PBE, the Alexandria database).

Computed properties:
- total energy (eV per cell) = -14.573
- size of the total moment (μB per cell) = 0.0
- ΔE_f (eV/atom) = -0.3087
- density (g/cm3) = 8.59

Unit cell a=3.511 b=3.511 c=9.405 alpha=90.00 beta=90.00 gamma=90.00
Sites, in units of the cell vectors:
Pb 0.000 0.000 0.743
Pb 0.000 0.000 0.257
Na 0.500 0.500 0.000
Dy 0.500 0.500 0.500

***

Record 2
# NaDy2Pb8

Crystalline NaDy2Pb8 at its relaxed geometry (PBE, the Alexandria database).

Computed properties:
- total energy (eV per cell) = -42.607
- size of the total moment (μB per cell) = 0.0
- ΔE_f (eV/atom) = -0.2197
- density (g/cm3) = 9.79

Unit cell a=4.727 b=4.727 c=15.228 alpha=90.00 beta=90.00 gamma=90.00
Sites, in units of the cell vectors:
Na 0.000 0.000 0.000
Dy 0.000 0.000 0.343
Dy 0.000 0.000 0.657
Pb 0.000 0.500 0.500
Pb 0.500 0.000 0.500
Pb 0.500 0.500 0.324
Pb 0.500 0.500 0.676
Pb 0.000 0.500 0.165
Pb 0.500 0.000 0.165
Pb 0.000 0.500 0.835
Pb 0.500 0.000 0.835

***

Record 3
# NaDyPb3

Crystalline NaDyPb3 at its relaxed geometry (PBE, the Alexandria database).

Computed properties:
- total energy (eV per cell) = -34.166
- size of the total moment (μB per cell) = 0.0
- energy relative to the lowest polymorph listed for this composition (eV/atom) = 0.204
- ΔE_f (eV/atom) = -0.0073
- density (g/cm3) = 8.89

Unit cell a=6.078 b=7.568 c=7.568 alpha=120.00 beta=90.00 gamma=90.00
Sites, in units of the cell vectors:
Na 0.000 0.000 0.000
Na 0.500 0.000 0.000
Dy 0.250 0.334 0.666
Dy 0.750 0.666 0.334
Pb 0.250 0.802 0.198
Pb 0.750 0.198 0.802
Pb 0.250 0.802 0.603
Pb 0.750 0.198 0.397
Pb 0.250 0.397 0.198
Pb 0.750 0.603 0.802

***

Record 4
# NaDyPdPb

Crystalline NaDyPdPb at its relaxed geometry (PBE, the Alexandria database).

Computed properties:
- total energy (eV per cell) = -16.229
- size of the total moment (μB per cell) = 0.0
- ΔE_f (eV/atom) = -0.3516
- density (g/cm3) = 8.80

Unit cell a=5.107 b=5.107 c=5.107 alpha=60.00 beta=60.00 gamma=60.00
Sites, in units of the cell vectors:
Pb 0.750 0.750 0.750
Na 0.000 0.000 0.000
Pd 0.250 0.250 0.250
Dy 0.500 0.500 0.500

***

Record 5
# NaPmDyPb

Crystalline NaPmDyPb at its relaxed geometry (PBE, the Alexandria database).

Computed properties:
- total energy (eV per cell) = -15.050
- size of the total moment (μB per cell) = 0.1
- ΔE_f (eV/atom) = -0.1674
- density (g/cm3) = 7.76

Unit cell a=5.459 b=5.459 c=5.459 alpha=60.00 beta=60.00 gamma=60.00
Sites, in units of the cell vectors:
Pb 0.500 0.500 0.500
Na 0.000 0.000 0.000
Pm 0.250 0.250 0.250
Dy 0.750 0.750 0.750

***

Record 6
# NaDyPtPb

Crystalline NaDyPtPb at its relaxed geometry (PBE, the Alexandria database).

Computed properties:
- total energy (eV per cell) = -17.839
- size of the total moment (μB per cell) = 0.0
- ΔE_f (eV/atom) = -0.5423
- density (g/cm3) = 11.43

Unit cell a=4.942 b=4.942 c=4.942 alpha=60.00 beta=60.00 gamma=60.00
Sites, in units of the cell vectors:
Pb 0.500 0.500 0.500
Na 0.250 0.250 0.250
Pt 0.750 0.750 0.750
Dy 0.000 0.000 0.000

***

Record 7
# NaDyRhPb

Crystalline NaDyRhPb at its relaxed geometry (PBE, the Alexandria database).

Computed properties:
- total energy (eV per cell) = -18.210
- size of the total moment (μB per cell) = 0.0
- ΔE_f (eV/atom) = -0.3073
- density (g/cm3) = 9.72

Unit cell a=4.928 b=4.928 c=4.928 alpha=60.00 beta=60.00 gamma=60.00
Sites, in units of the cell vectors:
Pb 0.000 0.000 0.000
Na 0.250 0.250 0.250
Rh 0.750 0.750 0.750
Dy 0.500 0.500 0.500

***

Record 8
# NaDy2Pb3S6

Crystalline NaDy2Pb3S6 at its relaxed geometry (PBE, the Alexandria database).

Computed properties:
- total energy (eV per cell) = -60.383
- energy relative to the elements, uncorrected (eV/atom) = -1.1642
- size of the total moment (μB per cell) = 0.0
- density (g/cm3) = 6.33

Unit cell a=3.942 b=8.910 c=9.221 alpha=105.18 beta=102.34 gamma=90.00
Sites, in units of the cell vectors:
Na 0.500 0.000 0.000
Dy 0.836 0.668 0.672
Dy 0.164 0.332 0.328
Pb 0.500 0.500 0.000
Pb 0.840 0.160 0.679
Pb 0.160 0.840 0.321
S 0.329 0.877 0.659
S 0.673 0.553 0.346
S 0.671 0.123 0.341
S 0.009 0.255 0.018
S 0.991 0.745 0.982
S 0.327 0.447 0.654

***

Record 9
# NaDyPb2S4

Crystalline NaDyPb2S4 at its relaxed geometry (PBE, the Alexandria database).

Computed properties:
- total energy (eV per cell) = -38.935
- energy relative to the elements, uncorrected (eV/atom) = -1.1359
- size of the total moment (μB per cell) = 0.0
- density (g/cm3) = 6.11

Unit cell a=4.104 b=7.084 c=7.179 alpha=108.42 beta=90.00 gamma=90.00
Sites, in units of the cell vectors:
Na 0.500 0.500 0.000
Dy 0.000 0.000 0.000
Pb 0.500 0.000 0.500
Pb 0.000 0.500 0.500
S 0.500 0.233 0.226
S 0.500 0.767 0.774
S 0.000 0.241 0.766
S 0.000 0.759 0.234

***

Record 10
# NaDyPb2Se4

Crystalline NaDyPb2Se4 at its relaxed geometry (PBE, the Alexandria database).

Computed properties:
- total energy (eV per cell) = -35.932
- energy relative to the elements, uncorrected (eV/atom) = -1.0820
- size of the total moment (μB per cell) = 0.0
- density (g/cm3) = 6.85

Unit cell a=4.264 b=7.374 c=7.445 alpha=108.50 beta=90.00 gamma=90.00
Sites, in units of the cell vectors:
Na 0.500 0.500 0.000
Dy 0.000 0.000 0.000
Pb 0.500 0.000 0.500
Pb 0.000 0.500 0.500
Se 0.500 0.235 0.229
Se 0.500 0.765 0.771
Se 0.000 0.243 0.765
Se 0.000 0.757 0.235

***

Record 11
# NaSrDyPb

Crystalline NaSrDyPb at its relaxed geometry (PBE, the Alexandria database).

Computed properties:
- total energy (eV per cell) = -12.016
- size of the total moment (μB per cell) = 0.0
- ΔE_f (eV/atom) = -0.1761
- density (g/cm3) = 6.26

Unit cell a=5.649 b=5.649 c=5.649 alpha=60.00 beta=60.00 gamma=60.00
Sites, in units of the cell vectors:
Pb 0.500 0.500 0.500
Sr 0.250 0.250 0.250
Na 0.000 0.000 0.000
Dy 0.750 0.750 0.750

***

Record 12
# NaDy2Te6Pb3

Crystalline NaDy2Te6Pb3 at its relaxed geometry (PBE, the Alexandria database).

Computed properties:
- total energy (eV per cell) = -50.057
- energy relative to the elements, uncorrected (eV/atom) = -0.7966
- size of the total moment (μB per cell) = 0.0
- density (g/cm3) = 7.20

Unit cell a=4.465 b=9.280 c=10.212 alpha=104.01 beta=102.63 gamma=90.00
Sites, in units of the cell vectors:
Na 0.500 0.000 0.000
Dy 0.833 0.655 0.665
Dy 0.167 0.345 0.335
Te 0.326 0.888 0.652
Te 0.671 0.582 0.342
Te 0.674 0.112 0.348
Te 0.009 0.252 0.018
Te 0.991 0.748 0.982
Te 0.329 0.418 0.658
Pb 0.500 0.500 0.000
Pb 0.843 0.151 0.685
Pb 0.157 0.849 0.315